The following is a PBE with a Hubbard U calculation of a relaxed BaVCr2F8 crystal, from Alexandria.

Unit cell a=4.5564 b=5.2108 c=7.9679 alpha=96.04 beta=90.81 gamma=94.14
Element x y z (fractional)
Ba 0.0000 0.0000 0.0000
V 0.0000 0.0000 0.5000
Cr 0.4848 0.4957 0.2909
Cr 0.5152 0.5043 0.7091
F 0.1400 0.2362 0.3093
F 0.1713 0.2407 0.7252
F 0.3419 0.7354 0.4838
F 0.4399 0.7229 0.9245
F 0.5601 0.2771 0.0755
F 0.6581 0.2646 0.5162
F 0.8287 0.7593 0.2748
F 0.8600 0.7638 0.6907

Results
DOS at the Fermi energy in states/eV/f.u.: 0.000
Calculated total energy in eV for the cell shown: -74.05